{
  "formula": "GdTmGaRu",
  "functional": "GGA-PBE",
  "state": "optimized geometry",
  "crystal_system": "cubic",
  "ef_ev_per_atom": -0.453,
  "sg": "F-43m",
  "cell": [[4.921, 0.000, 0.000], [2.461, 4.262, 0.000], [2.461, 1.421, 4.018]],
  "species": ["Gd", "Ru", "Tm", "Ga"],
  "fractional_positions": [[0.500, 0.500, 0.500], [0.250, 0.250, 0.250], [0.000, 0.000, 0.000], [0.750, 0.750, 0.750]]
}



{
  "formula": "Pm2Dy3TmS6",
  "functional": "GGA-PBE",
  "state": "optimized geometry",
  "crystal_system": "monoclinic",
  "raw_formation_energy_ev_per_atom": -1.99,
  "sg": "C2/m",
  "cell": [[-0.916, 3.169, -2.125], [-6.147, 1.430, 4.784], [6.879, 2.739, 4.744]],
  "species": ["Pm", "Pm", "Dy", "Dy", "Dy", "Tm", "S", "S", "S", "S", "S", "S"],
  "fractional_positions": [[0.832, 0.664, 0.664], [0.168, 0.336, 0.336], [0.500, 0.500, 0.000], [0.831, 0.167, 0.661], [0.169, 0.833, 0.339], [0.500, 0.000, 0.000], [0.336, 0.926, 0.673], [0.663, 0.590, 0.327], [0.664, 0.074, 0.327], [0.997, 0.243, 0.993], [0.003, 0.757, 0.007], [0.337, 0.410, 0.673]]
}



Which formula does entry 1 have?
GdTmGaRu



What did the second record say?
{
  "formula": "Pm2Dy3TmS6",
  "functional": "GGA-PBE",
  "state": "optimized geometry",
  "crystal_system": "monoclinic",
  "raw_formation_energy_ev_per_atom": -1.99,
  "sg": "C2/m",
  "cell": [[-0.916, 3.169, -2.125], [-6.147, 1.430, 4.784], [6.879, 2.739, 4.744]],
  "species": ["Pm", "Pm", "Dy", "Dy", "Dy", "Tm", "S", "S", "S", "S", "S", "S"],
  "fractional_positions": [[0.832, 0.664, 0.664], [0.168, 0.336, 0.336], [0.500, 0.500, 0.000], [0.831, 0.167, 0.661], [0.169, 0.833, 0.339], [0.500, 0.000, 0.000], [0.336, 0.926, 0.673], [0.663, 0.590, 0.327], [0.664, 0.074, 0.327], [0.997, 0.243, 0.993], [0.003, 0.757, 0.007], [0.337, 0.410, 0.673]]
}